Material: Tb4Pr2Ge3H2
Method: DFT, GGA-PBE
State: relaxed

Cell lengths 4.6100, 4.6100, 23.9204 Å; angles 90.00, 90.00, 90.00 degrees
Space group I4/mmm (No. 139)
Symmetry-distinct sites (fractional):
Tb  0.0000  0.5000  0.0793
Pr  0.0000  0.0000  0.2010
Ge  0.0000  0.0000  0.3314
Ge  0.0000  0.0000  0.5000
H  0.0000  0.0000  0.0961

**Crystal system**: tetragonal
**Calculated total energy**: -5.038 eV/atom
**Magnetic moment**: 0.0 μB per cell



Material: Pr2Y4Ge3H2
Method: DFT, GGA-PBE
State: relaxed

Cell lengths 4.6108, 4.6108, 23.8269 Å; angles 90.00, 90.00, 90.00 degrees
Space group I4/mmm (No. 139)
Symmetry-distinct sites (fractional):
Pr  0.0000  0.0000  0.2009
Y  0.0000  0.5000  0.0794
Ge  0.0000  0.0000  0.3320
Ge  0.0000  0.0000  0.5000
H  0.0000  0.0000  0.0957

**Crystal system**: tetragonal
**Calculated total energy**: -5.720 eV/atom
**Magnetic moment**: 0.0 μB per cell



Material: PrZnGeH
Method: DFT, GGA-PBE
State: relaxed

Cell lengths 4.1906, 4.1906, 7.6766 Å; angles 90.00, 90.00, 90.00 degrees
Space group P4/nmm (No. 129, origin choice 2)
Symmetry-distinct sites (fractional):
Pr  0.2500  0.2500  0.1613
Zn  0.2500  0.7500  0.5000
Ge  0.2500  0.2500  0.7042
H  0.2500  0.7500  0.0000

**Crystal system**: tetragonal
**Calculated total energy**: -4.092 eV/atom
**Magnetic moment**: 0.0 μB per cell



Material: Ge3HPt
Method: DFT, GGA-PBE
State: relaxed

Cell lengths 4.2035, 4.2035, 4.2035 Å; angles 90.00, 90.00, 90.00 degrees
Space group Pm-3m (No. 221)
Symmetry-distinct sites (fractional):
Ge  0.0000  0.0000  0.5000
H  0.0000  0.0000  0.0000
Pt  0.5000  0.5000  0.5000

**Crystal system**: cubic
**Calculated total energy**: -4.345 eV/atom
**Magnetic moment**: 0.0 μB per cell
**Offset from the most stable computed form**: 0.000 eV per atom



Material: Ge2HPt
Method: DFT, GGA-PBE
State: relaxed

Cell lengths 6.0938, 6.0938, 6.0938 Å; angles 90.00, 90.00, 90.00 degrees
Space group Fm-3m (No. 225)
Symmetry-distinct sites (fractional):
Ge  0.2500  0.2500  0.2500
H  0.0000  0.0000  0.0000
Pt  0.0000  0.0000  0.5000

**Crystal system**: cubic
**Calculated total energy**: -4.497 eV/atom
**Magnetic moment**: 0.0 μB per cell
**Offset from the most stable computed form**: 0.233 eV per atom



Material: Ge2HPt
Method: DFT, GGA-PBE
State: relaxed

Cell lengths 4.6756, 4.6756, 11.9721 Å; angles 90.00, 90.00, 90.00 degrees
Space group I-42d (No. 122)
Symmetry-distinct sites (fractional):
Ge  0.1670  0.2500  0.1250
H  0.0000  0.0000  0.0000
Pt  0.0000  0.0000  0.5000

**Crystal system**: tetragonal
**Calculated total energy**: -4.475 eV/atom
**Magnetic moment**: 0.0 μB per cell
**Offset from the most stable computed form**: 0.255 eV per atom



Material: GeHPt2
Method: DFT, GGA-PBE
State: relaxed

Cell lengths 4.1007, 4.1007, 15.0431 Å; angles 90.00, 90.00, 120.00 degrees
Space group R-3m (No. 166, hexagonal axes)
Symmetry-distinct sites (fractional):
Ge  0.0000  0.0000  0.0000
H  0.0000  0.0000  0.5000
Pt  0.0000  0.0000  0.3866

**Crystal system**: trigonal
**Calculated total energy**: -5.053 eV/atom
**Magnetic moment**: 0.0 μB per cell
**Offset from the most stable computed form**: 0.079 eV per atom



Material: GeHPt2
Method: DFT, GGA-PBE
State: relaxed

Cell lengths 2.8712, 6.5188, 6.6082 Å; angles 116.60, 90.86, 90.69 degrees
Space group P1 (No. 1)
Symmetry-distinct sites (fractional):
Ge  0.0000  0.0000  0.0000
Ge  0.0254  0.5648  0.4158
H  0.4891  0.6381  0.0663
H  0.9821  0.0811  0.4998
Pt  0.4912  0.6330  0.8050
Pt  0.4935  0.3626  0.0441
Pt  0.5211  0.1988  0.3806
Pt  0.5635  0.9362  0.6094

**Crystal system**: triclinic
**Calculated total energy**: -5.123 eV/atom
**Magnetic moment**: 0.0 μB per cell
**Offset from the most stable computed form**: 0.009 eV per atom



Material: GeH3Pt
Method: DFT, GGA-PBE
State: relaxed

Cell lengths 3.6634, 3.6634, 3.6634 Å; angles 90.00, 90.00, 90.00 degrees
Space group Pm-3m (No. 221)
Symmetry-distinct sites (fractional):
Ge  0.0000  0.0000  0.0000
H  0.0000  0.5000  0.5000
Pt  0.5000  0.5000  0.5000

**Crystal system**: cubic
**Calculated total energy**: -3.903 eV/atom
**Magnetic moment**: 0.0 μB per cell
**Offset from the most stable computed form**: 0.000 eV per atom



Material: GeHPt2
Method: DFT, GGA-PBE
State: relaxed

Cell lengths 5.9506, 5.9506, 5.9506 Å; angles 90.00, 90.00, 90.00 degrees
Space group Fm-3m (No. 225)
Symmetry-distinct sites (fractional):
Ge  0.0000  0.0000  0.0000
H  0.0000  0.0000  0.5000
Pt  0.2500  0.2500  0.2500

**Crystal system**: cubic
**Calculated total energy**: -4.820 eV/atom
**Magnetic moment**: 0.0 μB per cell
**Offset from the most stable computed form**: 0.312 eV per atom



Material: Ge2H2Pt
Method: DFT, GGA-PBE
State: relaxed

Cell lengths 3.1443, 3.1443, 11.8844 Å; angles 90.00, 90.00, 90.00 degrees
Space group I4/mmm (No. 139)
Symmetry-distinct sites (fractional):
Ge  0.0000  0.0000  0.1360
H  0.0000  0.5000  0.2500
Pt  0.0000  0.0000  0.5000

**Crystal system**: tetragonal
**Calculated total energy**: -4.131 eV/atom
**Magnetic moment**: 0.0 μB per cell
**Offset from the most stable computed form**: 0.099 eV per atom



Material: Ge3HPt
Method: DFT, GGA-PBE
State: relaxed

Cell lengths 4.8972, 4.8972, 4.8972 Å; angles 90.00, 90.00, 90.00 degrees
Space group Pm-3m (No. 221)
Symmetry-distinct sites (fractional):
Ge  0.0000  0.0000  0.5000
H  0.5000  0.5000  0.5000
Pt  0.0000  0.0000  0.0000

**Crystal system**: cubic
**Calculated total energy**: -3.863 eV/atom
**Magnetic moment**: 0.0 μB per cell
**Offset from the most stable computed form**: 0.483 eV per atom



Material: Ge2H2Pt
Method: DFT, GGA-PBE
State: relaxed

Cell lengths 6.8956, 6.8956, 2.9482 Å; angles 90.00, 90.00, 90.00 degrees
Space group P4/mbm (No. 127)
Symmetry-distinct sites (fractional):
Ge  0.1954  0.3046  0.0000
H  0.0936  0.4064  0.5000
Pt  0.0000  0.0000  0.0000

**Crystal system**: tetragonal
**Calculated total energy**: -4.230 eV/atom
**Magnetic moment**: 0.0 μB per cell
**Offset from the most stable computed form**: 0.000 eV per atom



Material: GeH2Pt
Method: DFT, GGA-PBE
State: relaxed

Cell lengths 5.5004, 5.5004, 5.5004 Å; angles 90.00, 90.00, 90.00 degrees
Space group Fm-3m (No. 225)
Symmetry-distinct sites (fractional):
Ge  0.0000  0.0000  0.0000
H  0.2500  0.2500  0.2500
Pt  0.0000  0.0000  0.5000

**Crystal system**: cubic
**Calculated total energy**: -3.645 eV/atom
**Magnetic moment**: 0.0 μB per cell
**Offset from the most stable computed form**: 0.657 eV per atom



Material: GeHPt2
Method: DFT, GGA-PBE
State: relaxed

Cell lengths 5.0617, 5.0617, 8.9889 Å; angles 90.00, 90.00, 90.00 degrees
Space group I-42d (No. 122)
Symmetry-distinct sites (fractional):
Ge  0.0000  0.0000  0.0000
H  0.0000  0.0000  0.5000
Pt  0.1476  0.2500  0.6250

**Crystal system**: tetragonal
**Calculated total energy**: -5.132 eV/atom
**Magnetic moment**: 0.0 μB per cell
**Offset from the most stable computed form**: 0.000 eV per atom



Material: GeHPt4
Method: DFT, GGA-PBE
State: relaxed

Cell lengths 7.8025, 11.1987, 5.5447 Å; angles 90.00, 134.65, 90.00 degrees
Space group C2/c (No. 15)
Symmetry-distinct sites (fractional):
Ge  0.0000  0.1254  0.2500
H  0.0000  0.3779  0.7500
Pt  0.1801  0.2816  0.7000
Pt  0.2319  0.4680  0.1644

**Crystal system**: monoclinic
**Calculated total energy**: -5.452 eV/atom
**Magnetic moment**: 0.0 μB per cell



Material: GeH3Pt
Method: DFT, GGA-PBE
State: relaxed

Cell lengths 3.6504, 3.6504, 3.6504 Å; angles 90.00, 90.00, 90.00 degrees
Space group Pm-3m (No. 221)
Symmetry-distinct sites (fractional):
Ge  0.0000  0.0000  0.0000
H  0.0000  0.0000  0.5000
Pt  0.5000  0.5000  0.5000

**Crystal system**: cubic
**Calculated total energy**: -3.238 eV/atom
**Magnetic moment**: 0.0 μB per cell
**Offset from the most stable computed form**: 0.665 eV per atom



Material: GeH2Pt
Method: DFT, GGA-PBE
State: relaxed

Cell lengths 4.7079, 4.7079, 8.4323 Å; angles 90.00, 90.00, 90.00 degrees
Space group I-42d (No. 122)
Symmetry-distinct sites (fractional):
Ge  0.0000  0.0000  0.0000
H  0.1505  0.2500  0.6250
Pt  0.0000  0.0000  0.5000

**Crystal system**: tetragonal
**Calculated total energy**: -4.107 eV/atom
**Magnetic moment**: 0.0 μB per cell
**Offset from the most stable computed form**: 0.195 eV per atom



Material: GeH2Pt
Method: DFT, GGA-PBE
State: relaxed

Cell lengths 4.6614, 3.7316, 10.8013 Å; angles 90.00, 90.00, 90.00 degrees
Space group Pnna (No. 52)
Symmetry-distinct sites (fractional):
Ge  0.0345  0.2500  0.2500
H  0.0671  0.7337  0.0618
Pt  0.2500  0.0000  0.5723

**Crystal system**: orthorhombic
**Calculated total energy**: -4.302 eV/atom
**Magnetic moment**: 0.0 μB per cell
**Offset from the most stable computed form**: 0.000 eV per atom



Material: Ge2HPt
Method: DFT, GGA-PBE
State: relaxed

Cell lengths 3.9441, 3.9441, 17.0295 Å; angles 90.00, 90.00, 120.00 degrees
Space group R-3m (No. 166, hexagonal axes)
Symmetry-distinct sites (fractional):
Ge  0.0000  0.0000  0.1033
H  0.0000  0.0000  0.0000
Pt  0.0000  0.0000  0.5000

**Crystal system**: trigonal
**Calculated total energy**: -4.730 eV/atom
**Magnetic moment**: 0.0 μB per cell
**Offset from the most stable computed form**: 0.000 eV per atom



Material: Pu2GeHPt6
Method: DFT, GGA-PBE
State: relaxed

Cell lengths 5.6688, 5.6688, 18.5011 Å; angles 90.00, 90.00, 120.00 degrees
Space group R-3m (No. 166, hexagonal axes)
Symmetry-distinct sites (fractional):
Pu  0.0000  0.0000  0.2132
Ge  0.0000  0.0000  0.5000
H  0.0000  0.0000  0.0000
Pt  0.0018  0.5009  0.2701

**Crystal system**: trigonal
**Calculated total energy**: -7.868 eV/atom
**Magnetic moment**: 30.8 μB per cell



Material: PuGeHPt
Method: DFT, GGA-PBE
State: relaxed

Cell lengths 4.4334, 4.4334, 3.7610 Å; angles 90.00, 90.00, 120.00 degrees
Space group P-6m2 (No. 187)
Symmetry-distinct sites (fractional):
Pu  0.0000  0.0000  0.0000
Ge  0.3333  0.6667  0.5000
H  0.6667  0.3333  0.0000
Pt  0.6667  0.3333  0.5000

**Crystal system**: hexagonal
**Calculated total energy**: -7.696 eV/atom
**Magnetic moment**: 5.0 μB per cell



Material: PuGeHPt2
Method: DFT, GGA-PBE
State: relaxed

Cell lengths 3.9981, 11.0698, 7.2643 Å; angles 90.00, 90.00, 90.00 degrees
Space group Cmcm (No. 63)
Symmetry-distinct sites (fractional):
Pu  0.0000  0.0497  0.2500
Ge  0.0000  0.2315  0.7500
H  0.0000  0.5000  0.0000
Pt  0.0000  0.3432  0.0542

**Crystal system**: orthorhombic
**Calculated total energy**: -7.487 eV/atom
**Magnetic moment**: 21.5 μB per cell



Material: GeHRuPt2
Method: DFT, GGA-PBE
State: relaxed

Cell lengths 3.9320, 3.9320, 4.1022 Å; angles 90.00, 90.00, 90.00 degrees
Space group P4/mmm (No. 123)
Symmetry-distinct sites (fractional):
Ge  0.0000  0.0000  0.0000
H  0.5000  0.5000  0.5000
Ru  0.5000  0.5000  0.0000
Pt  0.0000  0.5000  0.5000

**Crystal system**: tetragonal
**Calculated total energy**: -5.884 eV/atom
**Magnetic moment**: 0.0 μB per cell



Material: GeHPtS2
Method: DFT, GGA-PBE
State: relaxed

Cell lengths 4.7993, 4.7993, 3.4278 Å; angles 90.00, 90.00, 90.00 degrees
Space group P4/mmm (No. 123)
Symmetry-distinct sites (fractional):
Ge  0.0000  0.0000  0.0000
H  0.5000  0.5000  0.0000
Pt  0.5000  0.5000  0.5000
S  0.0000  0.5000  0.5000

**Crystal system**: tetragonal
**Calculated total energy**: -4.394 eV/atom
**Magnetic moment**: 0.0 μB per cell



Number 1: N(E_F) 20.51 states/eV per cell. Number 2: N(E_F) 21.87 states/eV per cell. Number 3: N(E_F) 0.98 states/eV per cell. Number 4: N(E_F) 1.60 states/eV per cell. Number 5: N(E_F) 7.05 states/eV per cell. Number 6: N(E_F) 3.40 states/eV per cell. Number 7: N(E_F) 4.26 states/eV per cell. Number 8: N(E_F) 2.49 states/eV per cell. Number 9: N(E_F) 0.74 states/eV per cell. Number 10: N(E_F) 10.69 states/eV per cell. Number 11: N(E_F) 3.07 states/eV per cell. Number 12: N(E_F) 4.56 states/eV per cell. Number 13: N(E_F) 2.48 states/eV per cell. Number 14: N(E_F) 9.70 states/eV per cell. Number 15: N(E_F) 5.20 states/eV per cell. Number 16: N(E_F) 8.51 states/eV per cell. Number 17: N(E_F) 3.52 states/eV per cell. Number 18: N(E_F) 2.22 states/eV per cell. Number 19: N(E_F) 2.43 states/eV per cell. Number 20: N(E_F) 6.88 states/eV per cell. Number 21: N(E_F) 75.98 states/eV per cell. Number 22: N(E_F) 12.10 states/eV per cell. Number 23: N(E_F) 47.96 states/eV per cell. Number 24: N(E_F) 2.85 states/eV per cell. Number 25: N(E_F) 2.14 states/eV per cell.